No. 1
## CaPmSmMg (PBE)

Data for a relaxed CaPmSmMg crystal.

The calculation puts the volume at 32.15 Å³/atom. The excess energy over the best structure of this formula in the dataset is 0.061 eV/atom. For the total magnetic moment, the calculation gives 0.000 μB/atom. For the density of states at the Fermi level, the calculation gives 0.97 states/eV/atom. For the uncorrected energy, the calculation gives -51.58 eV/cell. The calculation puts the formation energy at 0.17 eV per formula unit.

The space group is F-43m (No. 216) and the conventional cell measures 8.012, 8.012 and 8.012 Å, with angles of 90.00, 90.00 and 90.00 degrees. The distinct sites, in fractional coordinates, are Ca at (0.000, 0.000, 0.000), Pm at (0.250, 0.250, 0.750), Sm at (0.250, 0.250, 0.250) and Mg at (0.000, 0.000, 0.500).

No. 2
## CaPmSmMg (PBE)

Data for a relaxed CaPmSmMg crystal.

The calculation puts the volume at 32.99 Å³/atom. The excess energy over the best structure of this formula in the dataset is 0.000 eV/atom. For the total magnetic moment, the calculation gives 0.000 μB/atom. For the density of states at the Fermi level, the calculation gives 1.25 states/eV/atom. For the uncorrected energy, the calculation gives -13.14 eV/cell. The calculation puts the formation energy at -0.07 eV per formula unit.

The space group is P4mm (No. 99) and the conventional cell measures 3.668, 3.668 and 9.809 Å, with angles of 90.00, 90.00 and 90.00 degrees. The distinct sites, in fractional coordinates, are Ca at (0.000, 0.000, 0.000), Pm at (0.500, 0.500, 0.708), Sm at (0.000, 0.000, 0.457) and Mg at (0.500, 0.500, 0.234).